VASP calculation (PBE+U) on K2MoO3 after structural relaxation.

Structure (extended XYZ):
```
12
Lattice="5.1977 -3.5692 0.0000 5.1977 3.5692 0.0000 -0.9257 0.0000 5.8727" Properties=species:S:1:pos:R:3 pbc="T T T"
K 1.4923 0.9548 1.2655
K 1.0294 -0.9548 4.2019
K 8.4403 0.9548 1.6708
K 7.9774 -0.9548 4.6071
Mo 4.9663 0.5777 1.4682
Mo 4.5034 -0.5777 4.4045
O 4.9663 2.4848 1.4682
O 3.4274 0.3309 3.0136
O 3.8903 -0.3309 0.0773
O 5.5794 0.3309 5.7954
O 6.0423 -0.3309 2.8590
O 4.5034 -2.4848 4.4045
```

Results
Calculated total energy ... -34.1 eV/f.u.
DOS(E_F) ... 0.00 states/eV per cell
Crystal system ... monoclinic